# 1
Here is an optimized crystal structure of Ca2AcTl3 from Alexandria. Energies are from PBE-GGA.

energy above the most stable polymorph in this dataset = 0 meV per atom

Cell and atoms, written as POSCAR:
```
Ca2AcTl3
1.0
5.640 0.000 0.000
-2.820 4.884 0.000
0.000 0.000 13.868
Ca Ac Tl
4 2 6
Cartesian
0.000 0.000 0.000
0.000 0.000 6.934
0.000 3.256 2.209
2.820 1.628 11.659
0.000 3.256 9.233
2.820 1.628 4.635
0.000 0.000 3.373
0.000 0.000 10.495
0.000 3.256 5.732
0.000 3.256 12.755
2.820 1.628 1.113
2.820 1.628 8.136
```

# 2
Here is an optimized crystal structure of Ca4AcTl5 from Alexandria. Energies are from PBE-GGA.

Cell and atoms, written as POSCAR:
```
Ca4AcTl5
1.0
3.944 0.000 0.000
0.000 3.944 0.000
0.000 0.000 19.657
Ca Ac Tl
4 1 5
Cartesian
0.000 0.000 1.912
0.000 0.000 5.707
0.000 0.000 13.950
0.000 0.000 17.745
0.000 0.000 9.828
1.972 1.972 0.000
1.972 1.972 3.810
1.972 1.972 7.614
1.972 1.972 12.043
1.972 1.972 15.846
```

# 3
Here is an optimized crystal structure of Ca2AcTl from Alexandria. Energies are from PBE-GGA.

energy above the most stable polymorph in this dataset = 27 meV per atom

Cell and atoms, written as POSCAR:
```
Ca2AcTl
1.0
5.103 0.000 0.000
0.000 5.103 0.000
0.000 0.000 5.513
Ca Ac Tl
2 1 1
Cartesian
0.000 2.551 0.000
2.551 0.000 0.000
0.000 0.000 2.757
2.551 2.551 2.757
```

# 4
Here is an optimized crystal structure of CaAc5Tl2 from Alexandria. Energies are from PBE-GGA.

Cell and atoms, written as POSCAR:
```
CaAc5Tl2
1.0
-1.998 5.815 6.921
1.998 -5.815 6.921
1.998 5.815 -6.921
Ca Ac Tl
1 5 2
Cartesian
0.000 0.000 0.000
1.998 3.189 -1.920
1.998 3.189 1.920
0.000 5.815 0.000
0.000 2.626 5.000
0.000 2.626 8.841
1.998 0.000 3.248
0.000 5.815 3.673
```

Number 1: raw total energy -35.46 eV for the cell shown. Number 2: raw total energy -28.18 eV for the cell shown. Number 3: raw total energy -11.19 eV for the cell shown. Number 4: raw total energy -27.87 eV for the cell shown.